[1]
The following is a DFT calculation (PBE) of an optimized crystal structure of Li2MnInSe4.

Cell lengths 6.6543, 3.8590, 6.7830 Å; angles 90.00, 109.08, 90.00 degrees
Closest atoms and distances in Å follow each position.
Space group P2/m (No. 10)
Inequivalent atoms, fractional coordinates:
Li  0.0000  0.0000  0.0000 [1 per cell]  6 Se 2.73
Li  0.5000  0.5000  0.0000 [1 per cell]  6 Se 2.82-2.89
Mn  0.0000  0.5000  0.5000 [1 per cell]  6 Se 2.59-2.67
In  0.5000  0.0000  0.5000 [1 per cell]  6 Se 2.75-2.76
Se  0.2334  0.5000  0.2610 [2 per cell]  1 Mn 2.59, 3 Li 2.73-2.89, 2 In 2.76
Se  0.2345  0.0000  0.7371 [2 per cell]  2 Mn 2.67, 3 Li 2.73-2.82, 1 In 2.75

Computed properties:
total DFT energy (no corrections) = -4.46 eV/atom
uncorrected formation energy = -0.749 eV per atom


[2]
The following is a DFT calculation (PBE) of an optimized crystal structure of LiSmMnIn.

Cell lengths 6.9250, 6.9250, 6.9250 Å; angles 90.00, 90.00, 90.00 degrees
Closest atoms and distances in Å follow each position.
Space group F-43m (No. 216)
Inequivalent atoms, fractional coordinates:
Li  0.0000  0.0000  0.0000 [4 per cell]  4 In 3.00, 4 Sm 3.00
Sm  0.2500  0.2500  0.2500 [4 per cell]  4 Mn 3.00, 4 Li 3.00
Mn  0.0000  0.0000  0.5000 [4 per cell]  4 In 3.00, 4 Sm 3.00
In  0.2500  0.2500  0.7500 [4 per cell]  4 Mn 3.00, 4 Li 3.00

Computed properties:
energy relative to the elements = -0.290 eV/f.u.
total DFT energy (no corrections) = -4.71 eV/atom


[3]
The following is a DFT calculation (PBE) of an optimized crystal structure of LiMnIn2Sn.

Cell lengths 5.7282, 5.7282, 5.0997 Å; angles 90.00, 90.00, 90.00 degrees
Closest atoms and distances in Å follow each position.
Space group P4/mmm (No. 123)
Inequivalent atoms, fractional coordinates:
Li  0.0000  0.0000  0.0000 [1 per cell]  8 In 3.83, 4 Mn 4.05
Mn  0.5000  0.5000  0.0000 [1 per cell]  2 Sn 2.55
In  0.0000  0.5000  0.5000 [2 per cell]  2 Sn 2.86
Sn  0.5000  0.5000  0.5000 [1 per cell]  2 Mn 2.55

Computed properties:
energy relative to the elements = 2.958 eV/f.u.
total DFT energy (no corrections) = -3.52 eV/atom


[4]
The following is a DFT calculation (PBE) of an optimized crystal structure of LiTbMnIn.

Cell lengths 6.8589, 6.8589, 6.8589 Å; angles 90.00, 90.00, 90.00 degrees
Closest atoms and distances in Å follow each position.
Space group F-43m (No. 216)
Inequivalent atoms, fractional coordinates:
Li  0.0000  0.0000  0.0000 [4 per cell]  4 In 2.97, 4 Tb 2.97
Tb  0.2500  0.2500  0.7500 [4 per cell]  4 Mn 2.97, 4 Li 2.97
Mn  0.0000  0.0000  0.5000 [4 per cell]  4 Tb 2.97, 4 In 2.97
In  0.2500  0.2500  0.2500 [4 per cell]  4 Mn 2.97, 4 Li 2.97

Computed properties:
energy relative to the elements = -0.313 eV/f.u.
total DFT energy (no corrections) = -4.69 eV/atom


[5]
The following is a DFT calculation (PBE) of an optimized crystal structure of LiMnTlIn.

Cell lengths 6.7791, 6.7791, 6.7791 Å; angles 90.00, 90.00, 90.00 degrees
Closest atoms and distances in Å follow each position.
Space group F-43m (No. 216)
Inequivalent atoms, fractional coordinates:
Li  0.0000  0.0000  0.0000 [4 per cell]  4 Tl 2.94, 4 In 2.94
Mn  0.0000  0.0000  0.5000 [4 per cell]  4 Tl 2.94, 4 In 2.94
Tl  0.2500  0.2500  0.7500 [4 per cell]  4 Mn 2.94, 4 Li 2.94
In  0.2500  0.2500  0.2500 [4 per cell]  4 Mn 2.94, 4 Li 2.94

Computed properties:
energy relative to the elements = 0.220 eV/f.u.
total DFT energy (no corrections) = -3.99 eV/atom


[6]
The following is a DFT calculation (PBE) of an optimized crystal structure of LiInMo2.

Cell lengths 2.7541, 2.7541, 8.9483 Å; angles 90.00, 90.00, 90.00 degrees
Closest atoms and distances in Å follow each position.
Space group P4/mmm (No. 123)
Inequivalent atoms, fractional coordinates:
Li  0.0000  0.0000  0.0000 [1 per cell]  4 Li 2.75, 8 Mo 2.94
In  0.0000  0.0000  0.5000 [1 per cell]  4 In 2.75, 8 Mo 2.99
Mo  0.5000  0.5000  0.2462 [2 per cell]  4 Mo 2.75, 4 Li 2.94, 4 In 2.99

Computed properties:
energy relative to the elements = 2.234 eV/f.u.
total DFT energy (no corrections) = -6.02 eV/atom


[7]
The following is a DFT calculation (PBE) of an optimized crystal structure of LiIn2Mo2.

Cell lengths 8.3232, 8.3232, 2.9403 Å; angles 90.00, 90.00, 90.00 degrees
Closest atoms and distances in Å follow each position.
Space group P4/mbm (No. 127)
Inequivalent atoms, fractional coordinates:
Li  0.0000  0.0000  0.0000 [2 per cell]  2 Li 2.94, 4 In 3.03
In  0.1891  0.3109  0.0000 [4 per cell]  6 Mo 2.86-2.93, 2 In 2.94, 2 Li 3.03
Mo  0.1024  0.6024  0.5000 [4 per cell]  1 Mo 2.41

Computed properties:
energy relative to the elements = 1.619 eV/f.u.
polymorph energy (0 for the lowest one) = 0 meV per atom
total DFT energy (no corrections) = -5.49 eV/atom


[8]
The following is a DFT calculation (PBE) of an optimized crystal structure of LiInMo2.

Cell lengths 2.7913, 4.2794, 5.7727 Å; angles 90.00, 102.28, 90.00 degrees
Closest atoms and distances in Å follow each position.
Space group Pm (No. 6)
Inequivalent atoms, fractional coordinates:
Li  0.0000  0.0000  0.0000 [1 per cell]  2 In 2.70, 3 Mo 2.73-2.83, 2 Li 2.79
In  0.2298  0.5000  0.7584 [1 per cell]  2 Li 2.70, 2 In 2.79, 2 Mo 2.92-2.94
Mo  0.5936  0.0000  0.4641 [1 per cell]  4 Mo 2.57-2.79, 1 Li 2.83
Mo  0.7743  0.5000  0.2506 [1 per cell]  4 Mo 2.57-2.79, 2 Li 2.73

Computed properties:
energy relative to the elements = 0.853 eV/f.u.
total DFT energy (no corrections) = -6.37 eV/atom


[9]
The following is a DFT calculation (PBE) of an optimized crystal structure of LiInMo2.

Cell lengths 6.4039, 6.4039, 6.4039 Å; angles 90.00, 90.00, 90.00 degrees
Closest atoms and distances in Å follow each position.
Space group F-43m (No. 216)
Inequivalent atoms, fractional coordinates:
Li  0.0000  0.0000  0.0000 [4 per cell]  4 In 2.77, 4 Mo 2.77
In  0.2500  0.2500  0.2500 [4 per cell]  4 Mo 2.77, 4 Li 2.77
Mo  0.0000  0.0000  0.5000 [4 per cell]  4 In 2.77, 4 Mo 2.77
Mo  0.2500  0.2500  0.7500 [4 per cell]  4 Mo 2.77, 4 Li 2.77

Computed properties:
energy relative to the elements = 1.089 eV/f.u.
total DFT energy (no corrections) = -6.31 eV/atom


[10]
The following is a DFT calculation (PBE) of an optimized crystal structure of Li3InMo.

Cell lengths 5.0099, 5.0099, 5.0099 Å; angles 90.00, 90.00, 90.00 degrees
Closest atoms and distances in Å follow each position.
Space group Pm-3m (No. 221)
Inequivalent atoms, fractional coordinates:
Li  0.0000  0.0000  0.5000 [3 per cell]  2 Mo 2.50
In  0.5000  0.5000  0.5000 [1 per cell]  12 Li 3.54
Mo  0.0000  0.0000  0.0000 [1 per cell]  6 Li 2.50

Computed properties:
energy relative to the elements = 5.404 eV/f.u.
polymorph energy (0 for the lowest one) = 0 meV per atom
total DFT energy (no corrections) = -2.78 eV/atom


[11]
The following is a DFT calculation (PBE) of an optimized crystal structure of LiInMo2.

Cell lengths 3.4247, 4.7006, 8.3501 Å; angles 90.00, 90.00, 90.00 degrees
Closest atoms and distances in Å follow each position.
Space group Imm2 (No. 44)
Inequivalent atoms, fractional coordinates:
Li  0.0000  0.0000  0.0000 [2 per cell]  2 In 2.66, 6 Mo 2.73-2.92
In  0.0000  0.5000  0.2558 [2 per cell]  2 Li 2.66, 8 Mo 2.91-2.96
Mo  0.0000  0.0000  0.4717 [2 per cell]  2 Mo 2.50
Mo  0.0000  0.5000  0.7542 [2 per cell]  2 Mo 2.50, 2 Li 2.73

Computed properties:
energy relative to the elements = 1.080 eV/f.u.
total DFT energy (no corrections) = -6.31 eV/atom


[12]
The following is a DFT calculation (PBE) of an optimized crystal structure of Li4InMo.

Cell lengths 7.3020, 7.3020, 7.3020 Å; angles 90.00, 90.00, 90.00 degrees
Closest atoms and distances in Å follow each position.
Space group F-43m (No. 216)
Inequivalent atoms, fractional coordinates:
Li  0.1239  0.1239  0.1239 [16 per cell]  6 Li 2.56-2.61
In  0.0000  0.0000  0.5000 [4 per cell]  12 Li 3.03, 4 Mo 3.16
Mo  0.2500  0.2500  0.7500 [4 per cell]  12 Li 3.02, 4 In 3.16

Computed properties:
energy relative to the elements = 1.743 eV/f.u.
total DFT energy (no corrections) = -3.25 eV/atom


Copy entry 1 word for word.
The following is a DFT calculation (PBE) of an optimized crystal structure of Li2MnInSe4.

Cell lengths 6.6543, 3.8590, 6.7830 Å; angles 90.00, 109.08, 90.00 degrees
Closest atoms and distances in Å follow each position.
Space group P2/m (No. 10)
Inequivalent atoms, fractional coordinates:
Li  0.0000  0.0000  0.0000 [1 per cell]  6 Se 2.73
Li  0.5000  0.5000  0.0000 [1 per cell]  6 Se 2.82-2.89
Mn  0.0000  0.5000  0.5000 [1 per cell]  6 Se 2.59-2.67
In  0.5000  0.0000  0.5000 [1 per cell]  6 Se 2.75-2.76
Se  0.2334  0.5000  0.2610 [2 per cell]  1 Mn 2.59, 3 Li 2.73-2.89, 2 In 2.76
Se  0.2345  0.0000  0.7371 [2 per cell]  2 Mn 2.67, 3 Li 2.73-2.82, 1 In 2.75

Computed properties:
total DFT energy (no corrections) = -4.46 eV/atom
uncorrected formation energy = -0.749 eV per atom